Ag4Mo | PBE-GGA | relaxed

Its volume is 132.24 Å³/cell. The density of states at the Fermi level is 1.010 states/eV/atom. The crystal system is cubic. The energy above the lowest structure with this stoichiometry is 1.074 eV/atom. Its uncorrected energy is -2.8657 eV/atom.

The space group is Pm-3m (No. 221) and the conventional cell measures 5.0947, 5.0947 and 5.0947 Å, with angles of 90.00, 90.00 and 90.00 degrees. The inequivalent atoms are Ag at (0.0000, 0.0000, 0.0000), Ag at (0.0000, 0.5000, 0.5000) and Mo at (0.5000, 0.5000, 0.5000).